Entry 1:
A plane-wave DFT calculation with SCAN was carried out for LiCuI2N at its PBEsol-relaxed geometry.

Cell lengths 3.806, 5.333, 5.333 Å; angles 90.00, 90.00, 90.00 degrees
Site moments in Bohr magnetons follow the coordinates.
Fractional positions:
Li: 0.000 0.000 0.000  0.01
I: 0.000 0.500 0.000  0.19
I: 0.000 0.000 0.500  0.19
Cu: 0.500 0.500 0.500  0.06
N: 0.500 0.000 0.000  1.66

Properties
**Uncorrected formation energy**: 3.822 eV/f.u.
**D(E_F)**: 2.3 states/eV/cell
**Electronic total energy**: -96.54 eV per cell

***

Entry 2:
A plane-wave DFT calculation with SCAN was carried out for NaLiCuI2 at its PBEsol-relaxed geometry.

Cell lengths 4.530, 5.474, 5.474 Å; angles 90.00, 90.00, 90.00 degrees
Fractional positions:
I: 0.000 0.500 0.000
I: 0.000 0.000 0.500
Na: 0.500 0.500 0.500
Li: 0.000 0.000 0.000
Cu: 0.500 0.000 0.000

Properties
**Uncorrected formation energy**: -1.478 eV/f.u.
**D(E_F)**: 1.8 states/eV/cell
**Electronic total energy**: -96.77 eV per cell

***

Entry 3:
A plane-wave DFT calculation with SCAN was carried out for LiCuSbI2 at its PBEsol-relaxed geometry.

Cell lengths 4.852, 5.611, 5.611 Å; angles 90.00, 90.00, 90.00 degrees
Fractional positions:
Sb: 0.500 0.000 0.000
Li: 0.500 0.500 0.500
Cu: 0.000 0.000 0.000
I: 0.000 0.000 0.500
I: 0.000 0.500 0.000

Properties
**Uncorrected formation energy**: 0.241 eV/f.u.
**D(E_F)**: 3.3 states/eV/cell
**Electronic total energy**: -128.09 eV per cell

***

Entry 4:
A plane-wave DFT calculation with SCAN was carried out for MgCuI2 at its PBEsol-relaxed geometry.

Cell lengths 5.144, 5.144, 5.144 Å; angles 60.00, 60.00, 60.00 degrees
Fractional positions:
Mg: 0.000 0.000 0.000
I: 0.250 0.250 0.250
I: 0.750 0.750 0.750
Cu: 0.500 0.500 0.500

Properties
**Uncorrected formation energy**: 0.500 eV/f.u.
**D(E_F)**: 1.1 states/eV/cell
**Electronic total energy**: -93.16 eV per cell

***

Entry 5:
A plane-wave DFT calculation with SCAN was carried out for MgTa2CuI at its PBEsol-relaxed geometry.

Cell lengths 4.696, 4.998, 4.998 Å; angles 90.00, 90.00, 90.00 degrees
Fractional positions:
Ta: 0.000 0.000 0.500
Ta: 0.000 0.500 0.000
Cu: 0.500 0.000 0.000
Mg: 0.500 0.500 0.500
I: 0.000 0.000 0.000

Properties
**Uncorrected formation energy**: 9.172 eV/f.u.
**D(E_F)**: 2.1 states/eV/cell
**Electronic total energy**: -180.91 eV per cell

***

Entry 6:
A plane-wave DFT calculation with SCAN was carried out for MgTlCu2I at its PBEsol-relaxed geometry.

Cell lengths 4.884, 4.884, 5.744 Å; angles 90.00, 90.00, 90.00 degrees
Fractional positions:
Cu: 0.000 0.500 0.000
Cu: 0.500 0.000 0.000
I: 0.000 0.000 0.500
Tl: 0.500 0.500 0.500
Mg: 0.000 0.000 0.000

Properties
**Uncorrected formation energy**: 2.703 eV/f.u.
**D(E_F)**: 1.0 states/eV/cell
**Electronic total energy**: -141.77 eV per cell